Version A
An optimized crystal structure of Mg16Si8HO32, computed with PBEsol.

Lattice parameters (Å, degrees): 6.0524 9.5652 10.2729 90.25 90.87 90.72
Space group P1 (No. 1)
Asymmetric unit:
Mg: 0.0000 0.0000 0.0000
Mg: 0.0011 0.7457 0.4975
Mg: 0.0453 0.2314 0.4886
Mg: 0.2426 0.7475 0.7792
Mg: 0.2482 0.2456 0.7793
Mg: 0.2530 0.5000 0.2719
Mg: 0.2609 0.9965 0.2733
Mg: 0.4710 0.5058 0.5511
Mg: 0.4973 0.9910 0.5573
Mg: 0.4983 0.2526 0.0558
Mg: 0.5006 0.7515 0.0534
Mg: 0.7426 0.7482 0.7759
Mg: 0.7496 0.2415 0.7904
Mg: 0.7537 0.4989 0.2768
Mg: 0.7587 0.9959 0.2732
Mg: 0.9963 0.5030 0.9993
Si: 0.0023 0.2840 0.1815
Si: 0.0034 0.7836 0.1818
Si: 0.4946 0.5331 0.8712
Si: 0.4957 0.0316 0.8735
Si: 0.5059 0.7141 0.3687
Si: 0.5138 0.2151 0.3701
Si: 0.9925 0.4610 0.6819
Si: 0.9960 0.9618 0.6832
H: 0.7329 0.3053 0.5552
O: 0.0011 0.6132 0.1837
O: 0.0063 0.8594 0.3289
O: 0.0069 0.1134 0.1861
O: 0.0070 0.3586 0.3294
O: 0.1955 0.3847 0.6059
O: 0.2104 0.8864 0.6142
O: 0.2182 0.3592 0.1123
O: 0.2200 0.8586 0.1132
O: 0.2803 0.6076 0.9402
O: 0.2824 0.1078 0.9420
O: 0.2853 0.6411 0.4368
O: 0.3054 0.1297 0.4381
O: 0.4878 0.6074 0.7237
O: 0.4965 0.3623 0.8701
O: 0.4959 0.8614 0.8698
O: 0.4972 0.1071 0.7267
O: 0.4987 0.3852 0.3688
O: 0.5036 0.6383 0.2222
O: 0.5108 0.8848 0.3678
O: 0.5164 0.1375 0.2252
O: 0.7151 0.1066 0.9445
O: 0.7152 0.6091 0.9382
O: 0.7180 0.6369 0.4405
O: 0.7313 0.1572 0.4520
O: 0.7462 0.3866 0.6204
O: 0.7772 0.8864 0.6134
O: 0.7852 0.3589 0.1126
O: 0.7869 0.8582 0.1122
O: 0.9888 0.6301 0.6825
O: 0.9949 0.3861 0.8269
O: 0.9968 0.8867 0.8299
O: 0.9985 0.1333 0.6849

Summary:
Total magnetization in μB/f.u.: 0.000


Version B
An optimized crystal structure of Mg16Si8HO32, computed with PBEsol.

Lattice parameters (Å, degrees): 9.5458 6.0027 10.2220 90.00 90.03 90.00
Space group Pm (No. 6)
Asymmetric unit:
Mg: 0.0000 0.0000 0.0000
Mg: 0.0032 0.2500 0.2760
Mg: 0.0077 0.5000 0.5539
Mg: 0.2496 0.5000 0.0534
Mg: 0.2537 0.2501 0.7779
Mg: 0.2570 0.0000 0.5009
Mg: 0.4994 0.0000 0.9984
Mg: 0.5039 0.2499 0.2763
Mg: 0.5071 0.5000 0.5540
Mg: 0.7493 0.5000 0.0533
Mg: 0.7537 0.2495 0.7783
Mg: 0.7605 0.0000 0.5003
Si: 0.0404 0.0000 0.6836
Si: 0.2173 0.0000 0.1835
Si: 0.2885 0.5000 0.3692
Si: 0.4673 0.5000 0.8712
Si: 0.5399 0.0000 0.6801
Si: 0.7179 0.0000 0.1809
Si: 0.7900 0.5000 0.3706
Si: 0.9672 0.5000 0.8709
H: 0.4962 0.0000 0.4872
O: 0.1145 0.0000 0.8313
O: 0.1154 0.2177 0.6140
O: 0.1182 0.5000 0.3671
O: 0.1377 0.5000 0.8691
O: 0.1423 0.0000 0.3308
O: 0.1424 0.2177 0.1137
O: 0.3631 0.2842 0.4404
O: 0.3647 0.5000 0.2226
O: 0.3690 0.0000 0.6891
O: 0.3879 0.0000 0.1858
O: 0.3918 0.2828 0.9409
O: 0.3928 0.5000 0.7235
O: 0.6141 0.0000 0.8292
O: 0.6181 0.2219 0.6158
O: 0.6193 0.5000 0.3687
O: 0.6377 0.5000 0.8697
O: 0.6419 0.2176 0.1125
O: 0.6459 0.0000 0.3293
O: 0.8637 0.5000 0.2228
O: 0.8656 0.2825 0.4399
O: 0.8700 0.0000 0.6855
O: 0.8884 0.0000 0.1834
O: 0.8922 0.2824 0.9407
O: 0.8929 0.5000 0.7235

Summary:
Total magnetization in μB/f.u.: 1.000


Stability summary - winner: version B; margin: 11 meV per atom.


Version A
An optimized crystal structure of Mg2SbH2, computed with PBEsol.

Lattice parameters (Å, degrees): 3.4545 3.4545 11.9454 90.00 90.00 90.00
Space group I4/mmm (No. 139)
Asymmetric unit:
Mg: 0.0000 0.0000 0.1598
Sb: 0.0000 0.0000 0.5000
H: 0.0000 0.5000 0.2500

Summary:
Total magnetization in μB/f.u.: 0.000


Version B
An optimized crystal structure of Mg2SbH2, computed with PBEsol.

Lattice parameters (Å, degrees): 7.2030 7.2030 2.9301 90.00 90.00 90.00
Space group P4/mbm (No. 127)
Asymmetric unit:
Mg: 0.1382 0.3618 0.0000
Sb: 0.0000 0.0000 0.5000
H: 0.1015 0.6015 0.5000

Summary:
Total magnetization in μB/f.u.: 0.000


Stability summary - winner: version A; margin: 440 meV per atom.


Version A
An optimized crystal structure of Mg3SnH, computed with PBEsol.

Lattice parameters (Å, degrees): 5.3787 5.3787 5.3787 90.00 90.00 90.00
Space group Pm-3m (No. 221)
Asymmetric unit:
Mg: 0.0000 0.0000 0.5000
Sn: 0.0000 0.0000 0.0000
H: 0.5000 0.5000 0.5000

Summary:
Total magnetization in μB/f.u.: 0.001


Version B
An optimized crystal structure of Mg3SnH, computed with PBEsol.

Lattice parameters (Å, degrees): 4.4357 4.4357 4.4357 90.00 90.00 90.00
Space group Pm-3m (No. 221)
Asymmetric unit:
Mg: 0.0000 0.0000 0.5000
Sn: 0.5000 0.5000 0.5000
H: 0.0000 0.0000 0.0000

Summary:
Total magnetization in μB/f.u.: 0.000


Stability summary - winner: version B; margin: 781 meV per atom.


Version A
An optimized crystal structure of MnPH3, computed with PBEsol.

Lattice parameters (Å, degrees): 3.2683 3.2683 3.2683 90.00 90.00 90.00
Space group Pm-3m (No. 221)
Asymmetric unit:
Mn: 0.0000 0.0000 0.0000
P: 0.5000 0.5000 0.5000
H: 0.0000 0.0000 0.5000

Summary:
Total magnetization in μB/f.u.: 1.255


Version B
An optimized crystal structure of MnPH3, computed with PBEsol.

Lattice parameters (Å, degrees): 3.4500 3.4500 3.4500 90.00 90.00 90.00
Space group Pm-3m (No. 221)
Asymmetric unit:
Mn: 0.0000 0.0000 0.0000
P: 0.5000 0.5000 0.5000
H: 0.0000 0.5000 0.5000

Summary:
Total magnetization in μB/f.u.: 4.198


Stability summary - winner: version A; margin: 247 meV per atom.


Version A
An optimized crystal structure of MnHSe2, computed with PBEsol.

Lattice parameters (Å, degrees): 3.6098 3.6098 18.5845 90.00 90.00 120.00
Space group R-3m (No. 166, hexagonal axes)
Asymmetric unit:
Mn: 0.0000 0.0000 0.0000
H: 0.0000 0.0000 0.5000
Se: 0.0000 0.0000 0.4054

Summary:
Total magnetization in μB/f.u.: 3.117


Version B
An optimized crystal structure of MnHSe2, computed with PBEsol.

Lattice parameters (Å, degrees): 11.9859 3.4180 7.8929 90.00 128.08 90.00
Space group C2/m (No. 12)
Asymmetric unit:
Mn: 0.1040 0.0000 0.4160
H: 0.0000 0.0000 0.5000
H: 0.0000 0.5000 0.0000
Se: 0.0536 0.5000 0.8381
Se: 0.2431 0.5000 0.6870

Summary:
Total magnetization in μB/f.u.: 2.776


Stability summary - winner: version B; margin: 22 meV per atom.


Version A
An optimized crystal structure of Ti3MoH, computed with PBEsol.

Lattice parameters (Å, degrees): 4.0307 4.0307 4.0307 90.00 90.00 90.00
Space group Pm-3m (No. 221)
Asymmetric unit:
Ti: 0.0000 0.0000 0.5000
Mo: 0.5000 0.5000 0.5000
H: 0.0000 0.0000 0.0000

Summary:
Total magnetization in μB/f.u.: 0.001


Version B
An optimized crystal structure of Ti3MoH, computed with PBEsol.

Lattice parameters (Å, degrees): 4.6859 4.6859 4.6859 90.00 90.00 90.00
Space group Pm-3m (No. 221)
Asymmetric unit:
Ti: 0.0000 0.0000 0.5000
Mo: 0.0000 0.0000 0.0000
H: 0.5000 0.5000 0.5000

Summary:
Total magnetization in μB/f.u.: 2.135


Stability summary - winner: version A; margin: 1491 meV per atom.


Version A
An optimized crystal structure of TiHN2, computed with PBEsol.

Lattice parameters (Å, degrees): 4.9172 4.9172 4.9172 90.00 90.00 90.00
Space group Fm-3m (No. 225)
Asymmetric unit:
Ti: 0.0000 0.0000 0.0000
H: 0.0000 0.0000 0.5000
N: 0.2500 0.2500 0.2500

Summary:
Total magnetization in μB/f.u.: 0.000


Version B
An optimized crystal structure of TiHN2, computed with PBEsol.

Lattice parameters (Å, degrees): 3.8768 3.8768 9.7020 90.00 90.00 90.00
Space group I-42d (No. 122)
Asymmetric unit:
Ti: 0.0000 0.0000 0.0000
H: 0.0000 0.0000 0.5000
N: 0.2126 0.2500 0.6250

Summary:
Total magnetization in μB/f.u.: 0.873


Stability summary - winner: version B; margin: 152 meV per atom.


Version A
An optimized crystal structure of Na2TiSi4H4O13, computed with PBEsol.

Lattice parameters (Å, degrees): 8.9444 8.7782 7.4100 90.00 112.61 90.00
Space group P2_1/c (No. 14)
Asymmetric unit:
Na: 0.1958 0.1892 0.2140
Ti: 0.0000 0.0000 0.5000
Si: 0.1596 0.6609 0.6969
Si: 0.3140 0.5585 0.4047
H: 0.3305 0.1162 0.6020
H: 0.4817 0.2088 0.5890
O: 0.0213 0.7192 0.0690
O: 0.1011 0.5377 0.8176
O: 0.2127 0.0384 0.7111
O: 0.2316 0.5518 0.5669
O: 0.3173 0.7396 0.3452
O: 0.3621 0.2026 0.5370
O: 0.5000 0.0000 0.0000

Summary:
Total magnetization in μB/f.u.: 0.000


Version B
An optimized crystal structure of Na2TiSi4H4O13, computed with PBEsol.

Lattice parameters (Å, degrees): 7.3502 7.3502 10.7266 90.00 90.00 90.00
Space group P42_12 (No. 90)
Asymmetric unit:
Na: 0.0000 0.0000 0.1643
Ti: 0.0000 0.5000 0.2170
Si: 0.1796 0.7434 0.6460
H: 0.1284 0.2836 0.0130
O: 0.0000 0.5000 0.0548
O: 0.0386 0.2466 0.6758
O: 0.1110 0.7305 0.2614
O: 0.1515 0.1515 0.0000
O: 0.2128 0.7872 0.5000

Summary:
Total magnetization in μB/f.u.: 0.001


Stability summary - winner: version A; margin: 11 meV per atom.